[1]
DFT (GGA-PBEsol) results for an optimized crystal structure of ReAg2Os.

Unit cell a=2.637 b=4.449 c=5.207 alpha=90.00 beta=90.00 gamma=90.00
Element x y z (fractional)
1 Re 0.000 0.000 0.000
2 Ag 0.500 0.500 0.249
3 Ag 0.500 0.500 0.751
4 Os 0.000 0.000 0.500

Output
Total magnetization in μB per formula unit: 0.00
ΔE_f in eV per atom: 0.8138

[2]
DFT (GGA-PBEsol) results for an optimized crystal structure of TcIr2Rh.

Unit cell a=4.677 b=4.677 c=4.667 alpha=99.46 beta=99.46 gamma=33.36
Element x y z (fractional)
1 Tc 0.000 0.000 0.000
2 Ir 0.252 0.252 0.753
3 Ir 0.503 0.503 0.501
4 Rh 0.750 0.750 0.249

Output
Total magnetization in μB per formula unit: 0.00
ΔE_f in eV per atom: -0.1102

[3]
DFT (GGA-PBEsol) results for an optimized crystal structure of YAsPb2.

Unit cell a=6.013 b=6.013 c=6.013 alpha=142.71 beta=128.86 gamma=64.98
Element x y z (fractional)
1 Y 0.000 0.000 0.000
2 As 0.219 0.719 0.500
3 Pb 0.462 0.462 0.000
4 Pb 0.732 0.232 0.500

Output
Total magnetization in μB per formula unit: 0.00
ΔE_f in eV per atom: -0.3640

[4]
DFT (GGA-PBEsol) results for an optimized crystal structure of CaB3As.

Unit cell a=4.556 b=4.556 c=4.556 alpha=90.00 beta=90.00 gamma=90.00
Element x y z (fractional)
1 Ca 0.000 0.000 0.000
2 B 0.000 0.000 0.500
3 B 0.000 0.500 0.000
4 B 0.500 0.000 0.000
5 As 0.500 0.500 0.500

Output
Total magnetization in μB per formula unit: 0.00
ΔE_f in eV per atom: 2.7389

[5]
DFT (GGA-PBEsol) results for an optimized crystal structure of MnBe3N.

Unit cell a=3.979 b=3.979 c=3.979 alpha=90.00 beta=90.00 gamma=90.00
Element x y z (fractional)
1 Mn 0.000 0.000 0.000
2 Be 0.000 0.000 0.500
3 Be 0.000 0.500 0.000
4 Be 0.500 0.000 0.000
5 N 0.500 0.500 0.500

Output
ΔE_f (raw) in eV/atom: 2.127
Total magnetization in μB per formula unit: 2.31

[6]
DFT (GGA-PBEsol) results for an optimized crystal structure of Y2AgP.

Unit cell a=5.995 b=5.995 c=5.995 alpha=142.90 beta=138.37 gamma=56.97
Element x y z (fractional)
1 Y 0.000 0.000 0.000
2 Y 0.736 0.236 0.500
3 Ag 0.272 0.772 0.500
4 P 0.465 0.465 0.000

Output
Total magnetization in μB per formula unit: 0.00
ΔE_f in eV per atom: -0.6478

[7]
DFT (GGA-PBEsol) results for an optimized crystal structure of Nd2Zn15Ge2.

Unit cell a=6.742 b=6.742 c=6.742 alpha=84.95 beta=84.95 gamma=84.95
Element x y z (fractional)
1 Nd 0.167 0.167 0.167
2 Nd 0.833 0.833 0.833
3 Zn 0.000 0.500 0.500
4 Zn 0.151 0.151 0.671
5 Zn 0.151 0.671 0.151
6 Zn 0.187 0.500 0.813
7 Zn 0.187 0.813 0.500
8 Zn 0.329 0.849 0.849
9 Zn 0.500 0.000 0.500
10 Zn 0.500 0.187 0.813
11 Zn 0.500 0.500 0.000
12 Zn 0.500 0.813 0.187
13 Zn 0.671 0.151 0.151
14 Zn 0.813 0.187 0.500
15 Zn 0.813 0.500 0.187
16 Zn 0.849 0.329 0.849
17 Zn 0.849 0.849 0.329
18 Ge 0.401 0.401 0.401
19 Ge 0.599 0.599 0.599

Output
Total magnetization in μB per formula unit: 0.00
ΔE_f in eV per atom: -0.2336

[8]
DFT (GGA-PBEsol) results for an optimized crystal structure of InSiSn3.

Unit cell a=5.183 b=5.183 c=5.183 alpha=90.00 beta=90.00 gamma=90.00
Element x y z (fractional)
1 In 0.000 0.000 0.000
2 Si 0.500 0.500 0.500
3 Sn 0.000 0.500 0.500
4 Sn 0.500 0.000 0.500
5 Sn 0.500 0.500 0.000

Output
ΔE_f (raw) in eV/atom: 0.420
Total magnetization in μB per formula unit: 0.00

[9]
DFT (GGA-PBEsol) results for an optimized crystal structure of Li3Mn2CuO6.

Unit cell a=6.779 b=6.779 c=5.687 alpha=101.22 beta=101.22 gamma=23.77
Element x y z (fractional)
1 Li 0.000 0.000 0.000
2 Li 0.330 0.330 0.654
3 Li 0.670 0.670 0.346
4 Mn 0.331 0.331 0.168
5 Mn 0.669 0.669 0.832
6 Cu 0.000 0.000 0.500
7 O 0.177 0.177 0.073
8 O 0.179 0.179 0.612
9 O 0.473 0.473 0.242
10 O 0.527 0.527 0.758
11 O 0.821 0.821 0.388
12 O 0.823 0.823 0.927

Output
ΔE_f (raw) in eV/atom: -1.674
Total magnetization in μB per formula unit: 4.87

[10]
DFT (GGA-PBEsol) results for an optimized crystal structure of KZr2Hg.

Unit cell a=3.062 b=5.501 c=5.884 alpha=90.00 beta=93.39 gamma=90.00
Element x y z (fractional)
1 K 0.000 0.000 0.000
2 Zr 0.266 0.500 0.707
3 Zr 0.734 0.500 0.293
4 Hg 0.500 0.000 0.500

Output
Total magnetization in μB per formula unit: 0.00
ΔE_f in eV per atom: 0.4312

[11]
DFT (GGA-PBEsol) results for an optimized crystal structure of KMnSi2.

Unit cell a=6.065 b=6.065 c=6.065 alpha=155.21 beta=120.10 gamma=65.83
Element x y z (fractional)
1 K 0.000 0.000 0.000
2 Mn 0.500 0.500 0.000
3 Si 0.307 0.807 0.500
4 Si 0.693 0.193 0.500

Output
ΔE_f (raw) in eV/atom: 0.515
Total magnetization in μB per formula unit: 2.17

[12]
DFT (GGA-PBEsol) results for an optimized crystal structure of Mg3TeBr.

Unit cell a=5.283 b=5.283 c=5.283 alpha=90.00 beta=90.00 gamma=90.00
Element x y z (fractional)
1 Mg 0.000 0.000 0.500
2 Mg 0.000 0.500 0.000
3 Mg 0.500 0.000 0.000
4 Te 0.500 0.500 0.500
5 Br 0.000 0.000 0.000

Output
ΔE_f (raw) in eV/atom: 0.099
Total magnetization in μB per formula unit: 0.00